(1)
CrHgRh2 | GGA-PBE | relaxed

Results
- Symmetry: P4/mmm (123)
- DFT total energy: -6.011 eV/atom
- Formation energy: 0.146 eV per atom

Cell: 4.0525 4.0525 3.7952 Å, 90.00 90.00 90.00°
Atoms (fractional coordinates):
Cr: 0.0000 0.0000 0.0000
Hg: 0.5000 0.5000 0.0000
Rh: 0.0000 0.5000 0.5000
Rh: 0.5000 0.0000 0.5000

***

(2)
Sm2InGe2 | GGA-PBE | relaxed

Results
- Symmetry: P4/mbm (127)
- DFT total energy: -5.016 eV/atom
- Formation energy: -0.734 eV per atom

Cell: 7.5344 7.5344 4.2772 Å, 90.00 90.00 90.00°
Atoms (fractional coordinates):
Sm: 0.1794 0.3206 0.0000
Sm: 0.3206 0.8206 0.0000
Sm: 0.6794 0.1794 0.0000
Sm: 0.8206 0.6794 0.0000
In: 0.0000 0.0000 0.5000
In: 0.5000 0.5000 0.5000
Ge: 0.1191 0.6191 0.5000
Ge: 0.3809 0.1191 0.5000
Ge: 0.6191 0.8809 0.5000
Ge: 0.8809 0.3809 0.5000

***

(3)
NaSrCdHg2 | GGA-PBE | relaxed

Results
- Symmetry: P3m1 (156)
- DFT total energy: -1.167 eV/atom
- Formation energy: -0.263 eV per atom

Cell: 5.4477 5.4477 6.0131 Å, 90.00 90.00 120.00°
Atoms (fractional coordinates):
Na: 0.0000 0.0000 0.0000
Sr: 0.3333 0.6667 0.5815
Cd: 0.6667 0.3333 0.2932
Hg: 0.0000 0.0000 0.4860
Hg: 0.6667 0.3333 0.8082

***

(4)
Ac2SiSn3Au4 | GGA-PBE | relaxed

Results
- Symmetry: P-4m2 (115)
- DFT total energy: -4.462 eV/atom

Cell: 4.7652 4.7652 10.8884 Å, 90.00 90.00 90.00°
Atoms (fractional coordinates):
Ac: 0.0000 0.5000 0.2472
Ac: 0.5000 0.0000 0.7528
Si: 0.5000 0.5000 0.0000
Sn: 0.0000 0.0000 0.0000
Sn: 0.0000 0.5000 0.6331
Sn: 0.5000 0.0000 0.3669
Au: 0.0000 0.0000 0.5000
Au: 0.0000 0.5000 0.8820
Au: 0.5000 0.0000 0.1180
Au: 0.5000 0.5000 0.5000

***

(5)
Li2YRe | GGA-PBE | relaxed

Results
- Symmetry: R-3m (166)
- DFT total energy: -5.079 eV/atom
- Formation energy: 0.606 eV per atom
- Energy above the most stable polymorph in this dataset: 216 meV per atom

Cell: 2.8847 2.8847 31.3246 Å, 90.00 90.00 120.00°
Atoms (fractional coordinates):
Li: 0.0000 0.0000 0.2393
Li: 0.0000 0.0000 0.7607
Li: 0.3333 0.6667 0.4274
Li: 0.3333 0.6667 0.9060
Li: 0.6667 0.3333 0.0940
Li: 0.6667 0.3333 0.5726
Y: 0.0000 0.0000 0.0000
Y: 0.3333 0.6667 0.6667
Y: 0.6667 0.3333 0.3333
Re: 0.0000 0.0000 0.5000
Re: 0.3333 0.6667 0.1667
Re: 0.6667 0.3333 0.8333

***

What did the fifth record say?
Li2YRe | GGA-PBE | relaxed

Results
- Symmetry: R-3m (166)
- DFT total energy: -5.079 eV/atom
- Formation energy: 0.606 eV per atom
- Energy above the most stable polymorph in this dataset: 216 meV per atom

Cell: 2.8847 2.8847 31.3246 Å, 90.00 90.00 120.00°
Atoms (fractional coordinates):
Li: 0.0000 0.0000 0.2393
Li: 0.0000 0.0000 0.7607
Li: 0.3333 0.6667 0.4274
Li: 0.3333 0.6667 0.9060
Li: 0.6667 0.3333 0.0940
Li: 0.6667 0.3333 0.5726
Y: 0.0000 0.0000 0.0000
Y: 0.3333 0.6667 0.6667
Y: 0.6667 0.3333 0.3333
Re: 0.0000 0.0000 0.5000
Re: 0.3333 0.6667 0.1667
Re: 0.6667 0.3333 0.8333

***

Question: The highest DFT total energy belongs to which entry?
Answer: NaSrCdHg2

***

Question: Number 4 is which compound?
Answer: Ac2SiSn3Au4

***

Question: Look up the DFT total energy of the second one.
Answer: -5.016 eV/atom